Entry 1:
Here is a relaxed CrTeSeI2 crystal from Alexandria. Energies are from GGA-PBE.

a b c (Å): 5.1941 5.1941 5.1833
angles (deg): 90.00 90.00 90.00
Closest atoms and distances in Å follow each position.
Atoms (fractional coordinates):
Cr  0.0000  0.0000  0.0000  2 Te 2.59, 4 I 2.60
Te  0.0000  0.0000  0.5000  2 Cr 2.59
Se  0.5000  0.5000  0.5000  8 I 3.67, 4 Te 3.67
I  0.0000  0.5000  0.0000  2 Cr 2.60
I  0.5000  0.0000  0.0000  2 Cr 2.60

Properties
Fermi-level density of states in states/eV/cell: 7.053
Energy above the most stable polymorph in this dataset in kJ/mol of formula units: 0
E_form (uncorrected) in kJ/mol of atoms: 55.03
Space-group type: No. 123

Entry 2:
Here is a relaxed PaCuAs2O6 crystal from Alexandria. Energies are from GGA-PBE.

a b c (Å): 5.9330 5.2177 11.5869
angles (deg): 90.00 119.27 90.00
Closest atoms and distances in Å follow each position.
Atoms (fractional coordinates):
Pa  0.0000  0.0000  0.0000  6 O 2.11-2.33
Pa  0.0000  0.5000  0.5000  6 O 2.11-2.33
Cu  0.5000  0.0000  0.5000  2 O 1.96
Cu  0.5000  0.5000  0.0000  2 O 1.96
As  0.3151  0.0516  0.8078  3 O 1.82-1.87
As  0.3151  0.4484  0.3078  3 O 1.82-1.87
As  0.6849  0.5516  0.6922  3 O 1.82-1.87
As  0.6849  0.9484  0.1922  3 O 1.82-1.87
O  0.1303  0.2007  0.8772  1 As 1.82
O  0.1303  0.2993  0.3772  1 As 1.82
O  0.2089  0.2419  0.1640  1 As 1.82
O  0.2089  0.2581  0.6640  1 As 1.82
O  0.3851  0.7265  0.5750  1 As 1.87, 1 Cu 1.96
O  0.3851  0.7735  0.0750  1 As 1.87, 1 Cu 1.96
O  0.6149  0.2265  0.9250  1 As 1.87, 1 Cu 1.96
O  0.6149  0.2735  0.4250  1 As 1.87, 1 Cu 1.96
O  0.7911  0.7419  0.3360  1 As 1.82
O  0.7911  0.7581  0.8360  1 As 1.82
O  0.8697  0.7007  0.6228  1 As 1.82
O  0.8697  0.7993  0.1228  1 As 1.82

Properties
E_form (uncorrected) in kJ/mol of atoms: -179.30
Space-group type: No. 14

Entry 3:
Here is a relaxed LaMg12In6 crystal from Alexandria. Energies are from GGA-PBE.

a b c (Å): 8.2636 8.2636 8.2636
angles (deg): 105.15 105.15 105.15
Closest atoms and distances in Å follow each position.
Atoms (fractional coordinates):
La  0.0000  0.0000  0.0000  6 Mg 3.65
Mg  0.1103  0.5000  0.8897  4 In 2.83-2.93, 1 Mg 2.90
Mg  0.1103  0.8897  0.5000  4 In 2.83-2.93, 1 Mg 2.90
Mg  0.1550  0.3999  0.3999  4 In 3.04-3.19, 4 Mg 3.21-3.23
Mg  0.3999  0.1550  0.3999  4 In 3.04-3.19, 4 Mg 3.21-3.23
Mg  0.3999  0.3999  0.1550  4 In 3.04-3.19, 4 Mg 3.21-3.23
Mg  0.5000  0.1103  0.8897  4 In 2.83-2.93, 1 Mg 2.90
Mg  0.5000  0.8897  0.1103  4 In 2.83-2.93, 1 Mg 2.90
Mg  0.6001  0.6001  0.8450  4 In 3.04-3.19, 4 Mg 3.21-3.23
Mg  0.6001  0.8450  0.6001  4 In 3.04-3.19, 4 Mg 3.21-3.23
Mg  0.8450  0.6001  0.6001  4 In 3.04-3.19, 4 Mg 3.21-3.23
Mg  0.8897  0.1103  0.5000  4 In 2.83-2.93, 1 Mg 2.90
Mg  0.8897  0.5000  0.1103  4 In 2.83-2.93, 1 Mg 2.90
In  0.2693  0.2693  0.7289  5 Mg 2.83-3.04
In  0.2693  0.7289  0.2693  5 Mg 2.83-3.04
In  0.2711  0.7307  0.7307  5 Mg 2.83-3.04
In  0.7289  0.2693  0.2693  5 Mg 2.83-3.04
In  0.7307  0.2711  0.7307  5 Mg 2.83-3.04
In  0.7307  0.7307  0.2711  5 Mg 2.83-3.04

Properties
Fermi-level density of states in states/eV/cell: 7.420
Space-group type: No. 166

no.,E_tot (eV/atom),volume (Å³/cell)
1,-3.30,139.8
2,-7.12,312.9
3,-2.12,491.7